(1)
The following is a DFT calculation (GGA-PBEsol) of a relaxed structure of Na3Mo15Se19.

Structure (POSCAR):
```
Na3Mo15Se19
1.0
9.527 0.000 0.000
0.000 19.626 0.000
-4.584 0.000 8.413
Na Mo Se
6 30 38
direct
0.170 0.115 0.336 Na
0.170 0.385 0.336 Na
0.328 0.250 0.042 Na
0.672 0.750 0.958 Na
0.830 0.615 0.664 Na
0.830 0.885 0.664 Na
0.002 0.636 0.318 Mo
0.002 0.864 0.318 Mo
0.022 0.750 0.173 Mo
0.151 0.750 0.489 Mo
0.192 0.634 0.191 Mo
0.192 0.866 0.191 Mo
0.312 0.635 0.501 Mo
0.312 0.865 0.501 Mo
0.336 0.750 0.347 Mo
0.338 0.058 0.986 Mo
0.338 0.442 0.986 Mo
0.346 0.557 0.831 Mo
0.346 0.943 0.831 Mo
0.479 0.556 0.151 Mo
0.479 0.944 0.151 Mo
0.521 0.056 0.849 Mo
0.521 0.444 0.849 Mo
0.654 0.057 0.169 Mo
0.654 0.443 0.169 Mo
0.662 0.558 0.014 Mo
0.662 0.942 0.014 Mo
0.664 0.250 0.653 Mo
0.688 0.135 0.499 Mo
0.688 0.365 0.499 Mo
0.808 0.134 0.809 Mo
0.808 0.366 0.809 Mo
0.849 0.250 0.511 Mo
0.978 0.250 0.827 Mo
0.998 0.136 0.682 Mo
0.998 0.364 0.682 Mo
0.115 0.141 0.991 Se
0.115 0.359 0.991 Se
0.123 0.643 0.626 Se
0.123 0.857 0.626 Se
0.154 0.250 0.689 Se
0.168 0.533 0.337 Se
0.168 0.967 0.337 Se
0.173 0.547 0.968 Se
0.173 0.953 0.968 Se
0.205 0.750 0.045 Se
0.214 0.050 0.678 Se
0.214 0.450 0.678 Se
0.454 0.750 0.647 Se
0.464 0.052 0.291 Se
0.464 0.448 0.291 Se
0.479 0.658 0.998 Se
0.479 0.842 0.998 Se
0.499 0.643 0.373 Se
0.499 0.857 0.373 Se
0.501 0.143 0.627 Se
0.501 0.357 0.627 Se
0.521 0.158 0.002 Se
0.521 0.342 0.002 Se
0.536 0.552 0.709 Se
0.536 0.948 0.709 Se
0.546 0.250 0.353 Se
0.786 0.550 0.322 Se
0.786 0.950 0.322 Se
0.795 0.250 0.955 Se
0.827 0.047 0.032 Se
0.827 0.453 0.032 Se
0.832 0.033 0.663 Se
0.832 0.467 0.663 Se
0.846 0.750 0.311 Se
0.877 0.143 0.374 Se
0.877 0.357 0.374 Se
0.885 0.641 0.009 Se
0.885 0.859 0.009 Se
```

Properties
Fermi-level density of states   34.18 states/eV/cell
ρ   6.4 Mg/m³
Total magnetization   0.0 μB per cell
Formation energy from raw total energies   -0.614 eV/atom
Uncorrected energy   -553.2 eV/cell

=====

(2)
The following is a DFT calculation (GGA-PBEsol) of a relaxed structure of MnNi2Mo.

Structure (POSCAR):
```
MnNi2Mo
1.0
3.515 0.000 0.000
0.000 3.515 0.000
0.000 0.000 3.744
Mn Ni Mo
1 2 1
direct
0.000 0.000 0.000 Mn
0.000 0.500 0.500 Ni
0.500 0.000 0.500 Ni
0.500 0.500 0.000 Mo
```

Properties
Formation energy from the elements   -0.025 eV per atom
Fermi-level density of states   2.74 states/eV/cell
Energy above the most stable polymorph in this dataset   7 meV per atom
ρ   9.6 Mg/m³
Total magnetization   0.9 μB per cell
Uncorrected energy   -33.9 eV/cell

=====

(3)
The following is a DFT calculation (GGA-PBEsol) of a relaxed structure of ScZnAs3.

Structure (POSCAR):
```
ScZnAs3
1.0
4.996 0.000 0.000
0.000 4.996 0.000
0.000 0.000 4.996
Sc Zn As
1 1 3
direct
0.000 0.000 0.000 Sc
0.500 0.500 0.500 Zn
0.000 0.000 0.500 As
0.000 0.500 0.000 As
0.500 0.000 0.000 As
```

Properties
Formation energy from the elements   0.389 eV per atom
Fermi-level density of states   2.67 states/eV/cell
ρ   4.5 Mg/m³
Total magnetization   0.0 μB per cell
Uncorrected energy   -21.6 eV/cell

=====

(4)
The following is a DFT calculation (GGA-PBEsol) of a relaxed structure of MgCuP.

Structure (POSCAR):
```
MgCuP
1.0
3.823 0.000 0.000
-1.911 3.311 0.000
0.000 0.000 3.671
Mg Cu P
1 1 1
direct
0.000 0.000 0.000 Mg
0.667 0.333 0.500 Cu
0.333 0.667 0.500 P
```

Properties
Formation energy from the elements   -0.370 eV per atom
Fermi-level density of states   0.74 states/eV/cell
ρ   4.2 Mg/m³
Total magnetization   0.0 μB per cell
Uncorrected energy   -13.0 eV/cell

=====

(5)
The following is a DFT calculation (GGA-PBEsol) of a relaxed structure of KMg4Zr.

Structure (POSCAR):
```
KMg4Zr
1.0
0.000 4.250 4.250
4.250 0.000 4.250
4.250 4.250 0.000
K Mg Zr
1 4 1
direct
0.000 0.000 0.000 K
0.377 0.377 0.377 Mg
0.377 0.377 0.868 Mg
0.377 0.868 0.377 Mg
0.868 0.377 0.377 Mg
0.750 0.750 0.750 Zr
```

Properties
Formation energy from the elements   0.373 eV per atom
Fermi-level density of states   5.98 states/eV/cell
ρ   2.5 Mg/m³
Total magnetization   0.0 μB per cell
Uncorrected energy   -14.9 eV/cell

=====

(6)
The following is a DFT calculation (GGA-PBEsol) of a relaxed structure of Ni3SnP.

Structure (POSCAR):
```
Ni3SnP
1.0
4.540 0.000 0.000
0.000 4.540 0.000
0.000 0.000 4.540
Ni Sn P
3 1 1
direct
0.000 0.000 0.500 Ni
0.000 0.500 0.000 Ni
0.500 0.000 0.000 Ni
0.000 0.000 0.000 Sn
0.500 0.500 0.500 P
```

Properties
Formation energy from the elements   1.295 eV per atom
Fermi-level density of states   2.56 states/eV/cell
Energy above the most stable polymorph in this dataset   1354 meV per atom
ρ   5.8 Mg/m³
Total magnetization   0.0 μB per cell
Uncorrected energy   -22.0 eV/cell

=====

(7)
The following is a DFT calculation (GGA-PBEsol) of a relaxed structure of ZnNi9O10.

Structure (POSCAR):
```
ZnNi9O10
1.0
5.063 0.000 0.000
-1.691 5.572 0.000
-0.844 -1.735 6.221
Zn Ni O
1 9 10
direct
0.000 0.000 0.000 Zn
0.000 0.500 0.000 Ni
0.201 0.401 0.401 Ni
0.202 0.900 0.399 Ni
0.396 0.300 0.798 Ni
0.399 0.799 0.800 Ni
0.601 0.201 0.200 Ni
0.604 0.700 0.202 Ni
0.798 0.100 0.601 Ni
0.799 0.599 0.599 Ni
0.100 0.451 0.700 O
0.103 0.950 0.695 O
0.304 0.355 0.103 O
0.305 0.848 0.103 O
0.500 0.251 0.498 O
0.500 0.749 0.502 O
0.695 0.152 0.897 O
0.696 0.645 0.897 O
0.897 0.050 0.305 O
0.900 0.549 0.300 O
```

Properties
ρ   7.1 Mg/m³
Total magnetization   1.8 μB per cell
Formation energy from raw total energies   -0.657 eV/atom
Uncorrected energy   -122.6 eV/cell

=====

(8)
The following is a DFT calculation (GGA-PBEsol) of a relaxed structure of ScMnCo3.

Structure (POSCAR):
```
ScMnCo3
1.0
4.122 0.000 0.000
0.000 4.122 0.000
0.000 0.000 4.122
Sc Mn Co
1 1 3
direct
0.000 0.000 0.000 Sc
0.500 0.500 0.500 Mn
0.000 0.500 0.500 Co
0.500 0.000 0.500 Co
0.500 0.500 0.000 Co
```

Properties
Formation energy from the elements   0.603 eV per atom
Fermi-level density of states   5.94 states/eV/cell
ρ   6.6 Mg/m³
Total magnetization   0.0 μB per cell
Uncorrected energy   -36.6 eV/cell